# BaV2Cu3H2O10 (GGA+U, optimized geometry)
# - DFT total energy: -111.47 eV/f.u.
data_BaV2Cu3H2O10
_chemical_formula_sum 'Ba1 V2 Cu3 H2 O10'
_cell_length_a 5.9925
_cell_length_b 5.9925
_cell_length_c 7.9607
_cell_angle_alpha 114.63
_cell_angle_beta 114.63
_cell_angle_gamma 60.77
_symmetry_space_group_name_H-M 'P 1'
_symmetry_Int_Tables_number 1
loop_
_symmetry_equiv_pos_as_xyz
'x,y,z'
loop_
_atom_site_label
_atom_site_fract_x
_atom_site_fract_y
_atom_site_fract_z
Ba1 0.0000 0.0000 0.0000
V1 0.4211 0.4211 0.2281
V2 0.5789 0.5789 0.7719
Cu1 0.0000 0.0000 0.5000
Cu2 0.0000 0.5000 0.5000
Cu3 0.5000 0.0000 0.5000
H1 0.2641 0.2641 0.7710
H2 0.7359 0.7359 0.2290
O1 0.2103 0.2103 0.6219
O2 0.2244 0.7154 0.6844
O3 0.2847 0.2847 0.2931
O4 0.2846 0.7756 0.3156
O5 0.3386 0.3386 0.9829
O6 0.6614 0.6614 0.0171
O7 0.7154 0.2244 0.6844
O8 0.7153 0.7153 0.7069
O9 0.7756 0.2846 0.3156
O10 0.7897 0.7897 0.3781